Th3GaNi: relaxed, PBE-GGA.

Values from the calculation:
SG = Cmmm

Structure (POSCAR):
```
Th3GaNi
1.0
-1.3654 4.2600 1.9064
-6.8790 -0.5307 -3.7411
0.6272 -3.1682 7.5288
Ni Th Ga
2 6 2
Direct
0.5000 0.0871 0.1741
0.5000 0.9129 0.8259
0.5000 0.3130 0.0000
0.0000 0.1254 0.2508
0.5000 0.0000 0.5000
0.0000 0.8746 0.7492
0.5000 0.6870 0.0000
0.5000 0.5000 0.5000
0.0000 0.3560 0.7119
0.0000 0.6440 0.2881
```

Th3Ga9Ni2: relaxed, PBE-GGA.

Values from the calculation:
SG = Immm

Structure (POSCAR):
```
Th3Ga9Ni2
1.0
4.1535 0.0000 1.1156
1.6468 7.7673 2.1585
0.0169 -0.1463 8.2268
Ga Ni Th
9 2 3
Direct
0.1233 0.6001 0.1534
0.8767 0.8466 0.3999
0.0000 0.5000 0.5000
0.3365 0.0307 0.2962
0.1233 0.1534 0.6001
0.6635 0.9693 0.7038
0.3365 0.2962 0.0307
0.6635 0.7038 0.9693
0.8767 0.3999 0.8466
0.5000 0.2774 0.7226
0.5000 0.7226 0.2774
0.3219 0.6781 0.6781
0.6781 0.3219 0.3219
0.0000 0.0000 0.0000
```

Th7Ga2Ni2: relaxed, PBE-GGA.

Values from the calculation:
SG = Cmmm

Structure (POSCAR):
```
Th7Ga2Ni2
1.0
6.7485 -0.0027 -0.8817
0.0029 6.8476 0.0032
-1.3004 -0.0023 6.6804
Ga Th Ni
2 7 2
Direct
0.1608 0.5000 0.1608
0.8392 0.5000 0.8392
0.4997 0.2720 0.0002
0.0002 0.7280 0.4997
0.0000 0.0000 0.0000
0.5002 0.7489 0.4998
0.9998 0.2720 0.5003
0.5003 0.7280 0.9998
0.4998 0.2511 0.5002
0.2704 0.0000 0.7296
0.7296 0.0000 0.2704
```

Th2Ga3Ni: relaxed, PBE-GGA.

Values from the calculation:
SG = Fmmm

Structure (POSCAR):
```
Th2Ga3Ni
1.0
-4.5370 0.8695 3.6876
-3.6229 -3.5158 -3.0745
6.2704 -4.4893 3.7590
Ga Th Ni
6 4 2
Direct
0.1667 0.1667 0.8303
0.8333 0.8333 0.1697
0.3363 0.3363 0.1697
0.6637 0.6637 0.8303
0.8307 0.8307 0.6615
0.1693 0.1693 0.3385
0.2500 0.7500 0.5000
0.7500 0.2500 0.5000
0.7394 0.2606 0.0000
0.2606 0.7394 0.0000
0.3332 0.3332 0.6664
0.6668 0.6668 0.3336
```

Number 1: N(E_F) 10.91 states/eV per cell, DFT total energy -6.347 eV/atom, ΔE_f -0.133 eV/atom. Number 2: N(E_F) 5.21 states/eV per cell, DFT total energy -4.877 eV/atom, ΔE_f -0.515 eV/atom. Number 3: N(E_F) 14.03 states/eV per cell, DFT total energy -6.428 eV/atom, ΔE_f -0.105 eV/atom. Number 4: N(E_F) 9.25 states/eV per cell, DFT total energy -5.541 eV/atom, ΔE_f -0.591 eV/atom.